{
  "formula": "BaGaSe3",
  "functional": "PBE",
  "state": "optimized geometry",
  "cell": [[5.149, 0.000, 0.000], [0.000, 5.149, 0.000], [0.000, 0.000, 5.149]],
  "species": ["Ba", "Ga", "Se", "Se", "Se"],
  "fractional_positions": [[0.000, 0.000, 0.000], [0.500, 0.500, 0.500], [0.000, 0.500, 0.500], [0.500, 0.000, 0.500], [0.500, 0.500, 0.000]],
  "sg": "No. 221",
  "dos_ef_per_ev_atom": 1.07,
  "final_energy_ev_per_atom": -3.9473,
  "relative_energy_mev_per_atom": 162
}